## a
The following is a PBE-GGA calculation of a relaxed Zr2UZn crystal, from the Alexandria database.

## Properties
The space group is No. 225. As for the size of the total moment: 2.421 Bohr magnetons per cell.

a = 4.8963 Å, b = 4.8963 Å, c = 4.8963 Å
α = 60.00°, β = 60.00°, γ = 60.00°
Last column: nearest neighbours and their distance in Å.
Sites, in units of the cell vectors:
Zn1 0.5000 0.5000 0.5000  8 Zr 3.00
U1 0.0000 0.0000 0.0000  8 Zr 3.00
Zr1 0.2500 0.2500 0.2500  4 U 3.00, 4 Zn 3.00
Zr2 0.7500 0.7500 0.7500  4 U 3.00, 4 Zn 3.00

---

## b
The following is a PBE-GGA calculation of a relaxed Zr2UZn crystal, from the Alexandria database.

## Properties
The space group is No. 123. As for the size of the total moment: 2.248 Bohr magnetons per cell.

a = 3.9672 Å, b = 4.5763 Å, c = 4.5763 Å
α = 90.00°, β = 90.00°, γ = 90.00°
Last column: nearest neighbours and their distance in Å.
Sites, in units of the cell vectors:
Zn1 0.5000 0.0000 0.0000  8 Zr 3.03, 4 U 3.24
U1 0.5000 0.5000 0.5000  8 Zr 3.03, 4 Zn 3.24
Zr1 0.0000 0.0000 0.5000  4 U 3.03, 4 Zn 3.03, 4 Zr 3.24
Zr2 0.0000 0.5000 0.0000  4 U 3.03, 4 Zn 3.03, 4 Zr 3.24

---

Quick one: least stable of them? a

---

## a
The following is a PBE-GGA calculation of a relaxed V3W2 crystal, from the Alexandria database.

## Properties
The space group is No. 70. As for the size of the total moment: 0.000 Bohr magnetons per cell.

a = 5.0147 Å, b = 5.2042 Å, c = 6.9362 Å
α = 79.97°, β = 68.81°, γ = 61.20°
Last column: nearest neighbours and their distance in Å.
Sites, in units of the cell vectors:
V1 0.7259 0.0000 0.0000  6 W 2.58-2.68, 4 V 2.80
V2 0.4759 0.5000 0.5000  6 W 2.58-2.68, 4 V 2.80
V3 0.0731 0.5000 0.3057  5 V 2.51-2.80, 3 W 2.63-2.67
V4 0.8788 0.5000 0.6943  5 V 2.51-2.80, 3 W 2.63-2.67
V5 0.3231 0.0000 0.8057  5 V 2.51-2.80, 3 W 2.63-2.67
V6 0.1288 0.0000 0.1943  5 V 2.51-2.80, 3 W 2.63-2.67
W1 0.6758 0.5000 0.1004  8 V 2.58-2.84, 2 W 2.82
W2 0.2762 0.5000 0.8996  8 V 2.58-2.84, 2 W 2.82
W3 0.9257 0.0000 0.6004  8 V 2.58-2.84, 2 W 2.82
W4 0.5262 0.0000 0.3996  8 V 2.58-2.84, 2 W 2.82

---

## b
The following is a PBE-GGA calculation of a relaxed V3W2 crystal, from the Alexandria database.

## Properties
The space group is No. 2. As for the size of the total moment: 0.000 Bohr magnetons per cell.

a = 5.3863 Å, b = 9.0417 Å, c = 7.9502 Å
α = 47.41°, β = 56.41°, γ = 96.34°
Last column: nearest neighbours and their distance in Å.
Sites, in units of the cell vectors:
V1 0.4542 0.2017 0.8955  5 W 2.61-2.71, 3 V 2.65-2.66
V2 0.5458 0.7983 0.1045  5 W 2.61-2.71, 3 V 2.65-2.66
V3 0.1505 0.4003 0.2994  2 W 2.63-2.64, 6 V 2.65-2.71
V4 0.3519 0.5999 0.7005  5 W 2.64-2.67, 3 V 2.68-2.71
V5 0.6481 0.4001 0.2995  5 W 2.64-2.67, 3 V 2.68-2.71
V6 0.8495 0.5997 0.7006  2 W 2.63-2.64, 6 V 2.65-2.71
W1 0.7510 0.9997 0.5008  5 V 2.63-2.69, 3 W 2.68-2.71
W2 0.2490 0.0003 0.4992  5 V 2.63-2.69, 3 W 2.68-2.71
W3 0.0482 0.7982 0.1055  7 V 2.61-2.71, 1 W 2.69
W4 0.9518 0.2018 0.8945  7 V 2.61-2.71, 1 W 2.69

---

Quick one: least stable of them? a

---

## a
The following is a PBE-GGA calculation of a relaxed V4W crystal, from the Alexandria database.

## Properties
The space group is No. 221. As for the size of the total moment: 2.470 Bohr magnetons per cell.

a = 4.5693 Å, b = 4.5693 Å, c = 4.5693 Å
α = 90.00°, β = 90.00°, γ = 90.00°
Last column: nearest neighbours and their distance in Å.
Sites, in units of the cell vectors:
W1 0.5000 0.5000 0.5000  6 V 2.28
V1 0.0000 0.0000 0.0000  12 V 3.23
V2 0.5000 0.0000 0.5000  2 W 2.28
V3 0.0000 0.5000 0.5000  2 W 2.28
V4 0.5000 0.5000 0.0000  2 W 2.28

---

## b
The following is a PBE-GGA calculation of a relaxed V4W crystal, from the Alexandria database.

## Properties
The space group is No. 13. As for the size of the total moment: 0.000 Bohr magnetons per cell.

a = 5.0576 Å, b = 4.6401 Å, c = 6.7202 Å
α = 90.00°, β = 90.00°, γ = 66.41°
Last column: nearest neighbours and their distance in Å.
Sites, in units of the cell vectors:
V1 0.1590 0.9330 0.3458  5 V 2.54-2.77, 2 W 2.59-2.68
V2 0.8410 0.5670 0.3458  5 V 2.54-2.77, 2 W 2.59-2.68
V3 0.2467 0.5385 0.0221  5 V 2.34-2.59
V4 0.7533 0.9615 0.0221  5 V 2.34-2.59
V5 0.7533 0.4615 0.9779  5 V 2.34-2.59
V6 0.2467 0.0385 0.9779  5 V 2.34-2.59
V7 0.1590 0.4330 0.6542  5 V 2.54-2.77, 2 W 2.59-2.68
V8 0.8410 0.0670 0.6542  5 V 2.54-2.77, 2 W 2.59-2.68
W1 0.5000 0.7500 0.6498  6 V 2.59-2.68
W2 0.5000 0.2500 0.3502  6 V 2.59-2.68

---

## c
The following is a PBE-GGA calculation of a relaxed V4W crystal, from the Alexandria database.

## Properties
The space group is No. 12. As for the size of the total moment: 0.000 Bohr magnetons per cell.

a = 4.2906 Å, b = 5.0481 Å, c = 6.6080 Å
α = 101.59°, β = 90.00°, γ = 90.00°
Last column: nearest neighbours and their distance in Å.
Sites, in units of the cell vectors:
V1 0.0000 0.6034 0.1980  1 W 2.60, 7 V 2.62-2.66
V2 0.5000 0.8966 0.3020  1 W 2.60, 7 V 2.62-2.66
V3 0.0000 0.3966 0.8020  1 W 2.60, 7 V 2.62-2.66
V4 0.5000 0.1034 0.6980  1 W 2.60, 7 V 2.62-2.66
V5 0.0000 0.8022 0.5989  5 V 2.60-2.66, 3 W 2.64
V6 0.5000 0.6978 0.9011  5 V 2.60-2.66, 3 W 2.64
V7 0.0000 0.1978 0.4011  5 V 2.60-2.66, 3 W 2.64
V8 0.5000 0.3022 0.0989  5 V 2.60-2.66, 3 W 2.64
W1 0.0000 0.0000 0.0000  8 V 2.60-2.64
W2 0.5000 0.5000 0.5000  8 V 2.60-2.64

---

Quick one: least stable of them? a

---

## a
The following is a PBE-GGA calculation of a relaxed V4W3 crystal, from the Alexandria database.

## Properties
The space group is No. 176. As for the size of the total moment: 0.000 Bohr magnetons per cell.

a = 4.5468 Å, b = 7.3057 Å, c = 7.3057 Å
α = 120.00°, β = 90.00°, γ = 90.00°
Last column: nearest neighbours and their distance in Å.
Sites, in units of the cell vectors:
V1 0.2500 0.5207 0.1101  6 V 2.48-2.71, 1 W 2.60
V2 0.7500 0.4793 0.8899  6 V 2.48-2.71, 1 W 2.60
V3 0.2500 0.3333 0.6667  3 W 2.58, 9 V 2.69-2.82
V4 0.7500 0.1101 0.5894  6 V 2.48-2.71, 1 W 2.60
V5 0.2500 0.5894 0.4793  6 V 2.48-2.71, 1 W 2.60
V6 0.7500 0.4106 0.5207  6 V 2.48-2.71, 1 W 2.60
V7 0.2500 0.8899 0.4106  6 V 2.48-2.71, 1 W 2.60
V8 0.7500 0.6667 0.3333  3 W 2.58, 9 V 2.69-2.82
W1 0.7500 0.2597 0.1149  3 V 2.58-2.81, 6 W 2.81-2.85
W2 0.2500 0.7403 0.8851  3 V 2.58-2.81, 6 W 2.81-2.85
W3 0.2500 0.1149 0.8552  3 V 2.58-2.81, 6 W 2.81-2.85
W4 0.7500 0.8552 0.7403  3 V 2.58-2.81, 6 W 2.81-2.85
W5 0.2500 0.1448 0.2597  3 V 2.58-2.81, 6 W 2.81-2.85
W6 0.7500 0.8851 0.1448  3 V 2.58-2.81, 6 W 2.81-2.85

---

## b
The following is a PBE-GGA calculation of a relaxed V4W3 crystal, from the Alexandria database.

## Properties
The space group is No. 12. As for the size of the total moment: 0.000 Bohr magnetons per cell.

a = 2.5795 Å, b = 6.8614 Å, c = 7.0079 Å
α = 118.77°, β = 100.61°, γ = 90.00°
Last column: nearest neighbours and their distance in Å.
Sites, in units of the cell vectors:
V1 0.0686 0.4336 0.1372  3 V 2.47-2.58, 2 W 2.64-2.70
V2 0.9314 0.5664 0.8628  3 V 2.47-2.58, 2 W 2.64-2.70
V3 0.3584 0.1423 0.7169  1 W 2.56, 2 V 2.58
V4 0.6416 0.8577 0.2831  1 W 2.56, 2 V 2.58
W1 0.0000 0.0000 0.0000  4 W 2.58-2.67, 6 V 2.64-2.88
W2 0.2183 0.2865 0.4367  2 V 2.56-2.70, 3 W 2.58-2.67
W3 0.7817 0.7135 0.5633  2 V 2.56-2.70, 3 W 2.58-2.67

---

Quick one: least stable of them? a

---

## a
The following is a PBE-GGA calculation of a relaxed V3W4 crystal, from the Alexandria database.

## Properties
The space group is No. 12. As for the size of the total moment: 0.000 Bohr magnetons per cell.

a = 2.6073 Å, b = 6.9607 Å, c = 7.0079 Å
α = 119.09°, β = 100.72°, γ = 90.00°
Last column: nearest neighbours and their distance in Å.
Sites, in units of the cell vectors:
V1 0.0000 0.0000 0.0000  4 V 2.61-2.63, 6 W 2.66-2.87
V2 0.2148 0.2892 0.4297  4 W 2.57-2.88, 3 V 2.61-2.63
V3 0.7852 0.7108 0.5703  4 W 2.57-2.88, 3 V 2.61-2.63
W1 0.0752 0.4327 0.1504  4 V 2.57-2.88, 3 W 2.61-2.66
W2 0.9248 0.5673 0.8496  4 V 2.57-2.88, 3 W 2.61-2.66
W3 0.3580 0.1363 0.7159  2 W 2.61, 3 V 2.66-2.87
W4 0.6420 0.8637 0.2841  2 W 2.61, 3 V 2.66-2.87

---

## b
The following is a PBE-GGA calculation of a relaxed V3W4 crystal, from the Alexandria database.

## Properties
The space group is No. 176. As for the size of the total moment: 0.000 Bohr magnetons per cell.

a = 4.8407 Å, b = 7.1891 Å, c = 7.1891 Å
α = 120.00°, β = 90.00°, γ = 90.00°
Last column: nearest neighbours and their distance in Å.
Sites, in units of the cell vectors:
V1 0.7500 0.2301 0.0508  6 V 2.61-2.85, 6 W 2.63-2.89
V2 0.2500 0.7699 0.9492  6 V 2.61-2.85, 6 W 2.63-2.89
V3 0.2500 0.0508 0.8208  6 V 2.61-2.85, 6 W 2.63-2.89
V4 0.7500 0.8208 0.7699  6 V 2.61-2.85, 6 W 2.63-2.89
V5 0.2500 0.1792 0.2301  6 V 2.61-2.85, 6 W 2.63-2.89
V6 0.7500 0.9492 0.1792  6 V 2.61-2.85, 6 W 2.63-2.89
W1 0.2500 0.4662 0.0913  5 V 2.63-2.89, 7 W 2.70-2.91
W2 0.7500 0.5338 0.9087  5 V 2.63-2.89, 7 W 2.70-2.91
W3 0.2500 0.3333 0.6667  9 W 2.70-2.91, 3 V 2.76
W4 0.7500 0.0913 0.6251  5 V 2.63-2.89, 7 W 2.70-2.91
W5 0.2500 0.6251 0.5338  5 V 2.63-2.89, 7 W 2.70-2.91
W6 0.7500 0.3749 0.4662  5 V 2.63-2.89, 7 W 2.70-2.91
W7 0.2500 0.9087 0.3749  5 V 2.63-2.89, 7 W 2.70-2.91
W8 0.7500 0.6667 0.3333  9 W 2.70-2.91, 3 V 2.76

---

Quick one: least stable of them? b

---

## a
The following is a PBE-GGA calculation of a relaxed VW5 crystal, from the Alexandria database.

## Properties
The space group is No. 140. As for the size of the total moment: 0.000 Bohr magnetons per cell.

a = 5.9342 Å, b = 5.9342 Å, c = 7.0859 Å
α = 114.75°, β = 114.75°, γ = 90.00°
Last column: nearest neighbours and their distance in Å.
Sites, in units of the cell vectors:
V1 0.2500 0.2500 0.5000  10 W 2.57-2.85
V2 0.7500 0.7500 0.5000  10 W 2.57-2.85
W1 0.0000 0.0000 0.0000  8 W 2.72, 2 V 2.85
W2 0.5000 0.5000 0.0000  8 W 2.72, 2 V 2.85
W3 0.2997 0.7997 0.2751  2 V 2.57, 3 W 2.72
W4 0.4755 0.2997 0.2751  2 V 2.57, 3 W 2.72
W5 0.7997 0.9755 0.2751  2 V 2.57, 3 W 2.72
W6 0.5245 0.7003 0.7249  2 V 2.57, 3 W 2.72
W7 0.2003 0.0245 0.7249  2 V 2.57, 3 W 2.72
W8 0.0245 0.5245 0.7249  2 V 2.57, 3 W 2.72
W9 0.7003 0.2003 0.7249  2 V 2.57, 3 W 2.72
W10 0.9755 0.4755 0.2751  2 V 2.57, 3 W 2.72

---

## b
The following is a PBE-GGA calculation of a relaxed VW5 crystal, from the Alexandria database.

## Properties
The space group is No. 65. As for the size of the total moment: 0.000 Bohr magnetons per cell.

a = 3.1566 Å, b = 4.4759 Å, c = 7.0450 Å
α = 108.52°, β = 90.00°, γ = 90.00°
Last column: nearest neighbours and their distance in Å.
Sites, in units of the cell vectors:
W1 0.0000 0.6659 0.3318  8 W 2.72-2.76
W2 0.0000 0.3341 0.6682  8 W 2.72-2.76
W3 0.5000 0.5000 0.0000  4 W 2.72, 4 V 2.74
W4 0.5000 0.1646 0.3292  2 V 2.71, 6 W 2.74-2.76
W5 0.5000 0.8354 0.6708  2 V 2.71, 6 W 2.74-2.76
V1 0.0000 0.0000 0.0000  8 W 2.71-2.74

---

Quick one: least stable of them? a